(1)
Entry from Alexandria: an optimized crystal structure of Ac4Ni3Ge (PBE).

Unit cell a=4.271 b=4.365 c=11.579 alpha=90.00 beta=90.00 gamma=90.00
Fractional positions:
Ac 0.000 0.000 0.000
Ac 0.000 0.500 0.265
Ac 0.500 0.000 0.488
Ac 0.500 0.500 0.773
Ni 0.000 0.500 0.568
Ni 0.500 0.000 0.197
Ni 0.500 0.500 0.070
Ge 0.000 0.000 0.692

Values from the calculation:
Energy (eV per atom): -5.158

(2)
Entry from Alexandria: an optimized crystal structure of Ac2NiGe (PBE).

Unit cell a=6.395 b=4.390 c=8.691 alpha=90.00 beta=110.45 gamma=90.00
Fractional positions:
Ac 0.222 0.250 0.408
Ac 0.237 0.250 0.956
Ac 0.763 0.750 0.044
Ac 0.778 0.750 0.592
Ni 0.454 0.750 0.237
Ni 0.546 0.250 0.763
Ge 0.339 0.750 0.705
Ge 0.661 0.250 0.295

Values from the calculation:
Energy (eV per atom): -5.138

(3)
Entry from Alexandria: an optimized crystal structure of AcNi2Ge2P (PBE).

Unit cell a=4.365 b=4.365 c=5.903 alpha=90.00 beta=90.00 gamma=90.00
Fractional positions:
Ac 0.000 0.000 0.000
Ni 0.000 0.500 0.500
Ni 0.500 0.000 0.500
Ge 0.500 0.500 0.243
Ge 0.500 0.500 0.757
P 0.000 0.000 0.500

Values from the calculation:
Energy (eV per atom): -5.495

(4)
Entry from Alexandria: an optimized crystal structure of Ac2Ni4GeP3 (PBE).

Unit cell a=4.180 b=4.180 c=9.649 alpha=90.00 beta=90.00 gamma=90.00
Fractional positions:
Ac 0.000 0.500 0.245
Ac 0.500 0.000 0.755
Ni 0.000 0.000 0.000
Ni 0.000 0.500 0.623
Ni 0.500 0.000 0.377
Ni 0.500 0.500 0.000
Ge 0.000 0.000 0.500
P 0.000 0.500 0.876
P 0.500 0.000 0.124
P 0.500 0.500 0.500

Values from the calculation:
Energy (eV per atom): -6.047

(5)
Entry from Alexandria: an optimized crystal structure of Ac2Ni3Ge4Pd (PBE).

Unit cell a=4.363 b=4.363 c=9.963 alpha=90.00 beta=90.00 gamma=90.00
Fractional positions:
Ac 0.000 0.500 0.247
Ac 0.500 0.000 0.753
Ni 0.000 0.500 0.880
Ni 0.500 0.000 0.120
Ni 0.500 0.500 0.500
Ge 0.000 0.000 0.000
Ge 0.000 0.500 0.630
Ge 0.500 0.000 0.370
Ge 0.500 0.500 0.000
Pd 0.000 0.000 0.500

Values from the calculation:
Energy (eV per atom): -5.587

(6)
Entry from Alexandria: an optimized crystal structure of AcNiGe2Pd5 (PBE).

Unit cell a=4.286 b=4.286 c=10.097 alpha=90.00 beta=90.00 gamma=90.00
Fractional positions:
Ac 0.000 0.000 0.000
Ni 0.500 0.500 0.500
Ge 0.500 0.500 0.240
Ge 0.500 0.500 0.760
Pd 0.000 0.500 0.358
Pd 0.000 0.500 0.642
Pd 0.500 0.000 0.358
Pd 0.500 0.000 0.642
Pd 0.500 0.500 0.000

Values from the calculation:
Energy (eV per atom): -5.301

(7)
Entry from Alexandria: an optimized crystal structure of Ac2Ni12Ge3Pd (PBE).

Unit cell a=7.647 b=7.647 c=7.647 alpha=62.10 beta=62.10 gamma=62.10
Fractional positions:
Ac 0.109 0.109 0.109
Ac 0.891 0.891 0.891
Ni 0.135 0.627 0.627
Ni 0.157 0.157 0.488
Ni 0.157 0.488 0.157
Ni 0.373 0.373 0.865
Ni 0.373 0.865 0.373
Ni 0.488 0.157 0.157
Ni 0.512 0.843 0.843
Ni 0.627 0.135 0.627
Ni 0.627 0.627 0.135
Ni 0.843 0.512 0.843
Ni 0.843 0.843 0.512
Ni 0.865 0.373 0.373
Ge 0.000 0.500 0.500
Ge 0.500 0.000 0.500
Ge 0.500 0.500 0.000
Pd 0.500 0.500 0.500

Values from the calculation:
Energy (eV per atom): -5.188

(8)
Entry from Alexandria: an optimized crystal structure of Ac2PmNi3Ge4 (PBE).

Unit cell a=4.354 b=4.354 c=11.172 alpha=90.00 beta=90.00 gamma=90.00
Fractional positions:
Ac 0.000 0.500 0.223
Ac 0.500 0.000 0.777
Pm 0.000 0.000 0.500
Ni 0.000 0.500 0.893
Ni 0.500 0.000 0.107
Ni 0.500 0.500 0.500
Ge 0.000 0.000 0.000
Ge 0.000 0.500 0.673
Ge 0.500 0.000 0.327
Ge 0.500 0.500 0.000

Values from the calculation:
Energy (eV per atom): -5.464

(9)
Entry from Alexandria: an optimized crystal structure of AcPmNi2Ge2 (PBE).

Unit cell a=4.174 b=4.174 c=8.557 alpha=90.00 beta=90.00 gamma=120.00
Fractional positions:
Ac 0.000 0.000 0.000
Pm 0.000 0.000 0.500
Ni 0.333 0.667 0.733
Ni 0.667 0.333 0.267
Ge 0.333 0.667 0.266
Ge 0.667 0.333 0.734

Values from the calculation:
Energy (eV per atom): -5.627

(10)
Entry from Alexandria: an optimized crystal structure of AcPmNiGe (PBE).

Unit cell a=5.236 b=5.236 c=5.236 alpha=60.00 beta=60.00 gamma=60.00
Fractional positions:
Ac 0.000 0.000 0.000
Pm 0.500 0.500 0.500
Ni 0.750 0.750 0.750
Ge 0.250 0.250 0.250

Values from the calculation:
Energy (eV per atom): -5.181

(11)
Entry from Alexandria: an optimized crystal structure of Ac2PrNi3Ge4 (PBE).

Unit cell a=4.365 b=4.365 c=11.245 alpha=90.00 beta=90.00 gamma=90.00
Fractional positions:
Ac 0.000 0.500 0.221
Ac 0.500 0.000 0.779
Pr 0.000 0.000 0.500
Ni 0.000 0.500 0.894
Ni 0.500 0.000 0.106
Ni 0.500 0.500 0.500
Ge 0.000 0.000 0.000
Ge 0.000 0.500 0.677
Ge 0.500 0.000 0.323
Ge 0.500 0.500 0.000

Values from the calculation:
Energy (eV per atom): -5.448

(12)
Entry from Alexandria: an optimized crystal structure of AcPrNi2Ge2 (PBE).

Unit cell a=4.180 b=4.180 c=8.682 alpha=90.00 beta=90.00 gamma=120.00
Fractional positions:
Ac 0.000 0.000 0.000
Pr 0.000 0.000 0.500
Ni 0.333 0.667 0.260
Ni 0.667 0.333 0.740
Ge 0.333 0.667 0.737
Ge 0.667 0.333 0.263

Values from the calculation:
Energy (eV per atom): -5.619

no.,total magnetic moment (Bohr magnetons per cell)
1,0.00
2,0.00
3,0.00
4,0.00
5,0.00
6,0.00
7,0.00
8,0.00
9,0.00
10,0.00
11,0.00
12,0.00